Entry 1:
DFT (PBE-GGA) results for a geometry-optimized Ac4PdSe2Br structure.

The structure belongs to space group P2/m (No. 10); the cell edges are 7.876, 4.338 and 7.959 Å and the angles 90.00°, 108.47° and 90.00°. Symmetry generates all atoms from Ac at (0.230, 0.000, 0.239), Ac at (0.238, 0.500, 0.739), Pd at (0.000, 0.500, 0.000), Se at (0.000, 0.000, 0.500), Se at (0.500, 0.500, 0.500) and Br at (0.500, 0.000, 0.000).

Its volume is 32.24 Å³/atom.

Entry 2:
DFT (PBE-GGA) results for a geometry-optimized Ac8Si3PdBr4 structure.

The structure belongs to space group R-3m (No. 166, hexagonal axes); the cell edges are 9.1352, 9.1352 and 22.6927 Å and the angles 90.00°, 90.00° and 120.00°. Symmetry generates all atoms from Ac at (0.0000, 0.0000, 0.2396), Ac at (0.0010, 0.5005, 0.2386), Si at (0.0000, 0.5000, 0.5000), Pd at (0.0000, 0.0000, 0.5000), Br at (0.0000, 0.0000, 0.0000) and Br at (0.0000, 0.5000, 0.0000).

Its volume is 34.17 Å³/atom.

Entry 3:
DFT (PBE-GGA) results for a geometry-optimized Ac4TePdBr2 structure.

The structure belongs to space group P2/m (No. 10); the cell edges are 7.871, 4.434 and 8.504 Å and the angles 90.00°, 108.25° and 90.00°. Symmetry generates all atoms from Ac at (0.216, 0.000, 0.213), Ac at (0.244, 0.500, 0.770), Te at (0.000, 0.000, 0.500), Pd at (0.000, 0.500, 0.000), Br at (0.500, 0.000, 0.000) and Br at (0.500, 0.500, 0.500).

Its volume is 35.23 Å³/atom.

Entry 4:
DFT (PBE-GGA) results for a geometry-optimized AcTePdBr structure.

The structure belongs to space group R-3m (No. 166, hexagonal axes); the cell edges are 4.6247, 4.6247 and 44.2892 Å and the angles 90.00°, 90.00° and 120.00°. Symmetry generates all atoms from Ac at (0.0000, 0.0000, 0.0858), Te at (0.0000, 0.0000, 0.2965), Pd at (0.0000, 0.0000, 0.3813) and Br at (0.0000, 0.0000, 0.2047).

Its volume is 34.18 Å³/atom.

Entry 5:
DFT (PBE-GGA) results for a geometry-optimized AcPm2Br structure.

The structure belongs to space group R-3m (No. 166, hexagonal axes); the cell edges are 3.8290, 3.8290 and 31.6999 Å and the angles 90.00°, 90.00° and 120.00°. Symmetry generates all atoms from Ac at (0.0000, 0.0000, 0.0000), Pm at (0.0000, 0.0000, 0.2397) and Br at (0.0000, 0.0000, 0.5000).

Its volume is 33.54 Å³/atom.

Entry 6:
DFT (PBE-GGA) results for a geometry-optimized AcPmBr4 structure.

The structure belongs to space group C2/c (No. 15); the cell edges are 8.357, 17.575 and 7.329 Å and the angles 90.00°, 124.36° and 90.00°. Symmetry generates all atoms from Ac at (0.000, 0.064, 0.250), Pm at (0.000, 0.446, 0.750), Br at (0.232, 0.322, 0.747) and Br at (0.238, 0.426, 0.237).

Its volume is 37.03 Å³/atom.

Entry 7:
DFT (PBE-GGA) results for a geometry-optimized AcPmPtBr structure.

The structure belongs to space group R3m (No. 160, hexagonal axes); the cell edges are 4.3003, 4.3003 and 24.2054 Å and the angles 90.00°, 90.00° and 120.00°. Symmetry generates all atoms from Ac at (0.0000, 0.0000, 0.0000), Pm at (0.0000, 0.0000, 0.2027), Pt at (0.0000, 0.0000, 0.5968) and Br at (0.0000, 0.0000, 0.7742).

Its volume is 32.31 Å³/atom.

Entry 8:
DFT (PBE-GGA) results for a geometry-optimized AcPmSbBr structure.

The structure belongs to space group F-43m (No. 216); the cell edges are 7.833, 7.833 and 7.833 Å and the angles 90.00°, 90.00° and 90.00°. Symmetry generates all atoms from Ac at (0.000, 0.000, 0.000), Pm at (0.000, 0.000, 0.500), Sb at (0.250, 0.250, 0.250) and Br at (0.250, 0.250, 0.750).

Its volume is 30.03 Å³/atom.

Entry 9:
DFT (PBE-GGA) results for a geometry-optimized AcPmSeBr structure.

The structure belongs to space group F-43m (No. 216); the cell edges are 7.549, 7.549 and 7.549 Å and the angles 90.00°, 90.00° and 90.00°. Symmetry generates all atoms from Ac at (0.000, 0.000, 0.000), Pm at (0.000, 0.000, 0.500), Se at (0.250, 0.250, 0.750) and Br at (0.250, 0.250, 0.250).

Its volume is 26.88 Å³/atom.

Entry 10:
DFT (PBE-GGA) results for a geometry-optimized AcPmTeBr structure.

The structure belongs to space group F-43m (No. 216); the cell edges are 7.799, 7.799 and 7.799 Å and the angles 90.00°, 90.00° and 90.00°. Symmetry generates all atoms from Ac at (0.000, 0.000, 0.000), Pm at (0.000, 0.000, 0.500), Te at (0.250, 0.250, 0.250) and Br at (0.250, 0.250, 0.750).

Its volume is 29.64 Å³/atom.

Entry 11:
DFT (PBE-GGA) results for a geometry-optimized AcPmTlBr structure.

The structure belongs to space group F-43m (No. 216); the cell edges are 7.948, 7.948 and 7.948 Å and the angles 90.00°, 90.00° and 90.00°. Symmetry generates all atoms from Ac at (0.000, 0.000, 0.000), Pm at (0.000, 0.000, 0.500), Tl at (0.250, 0.250, 0.250) and Br at (0.250, 0.250, 0.750).

Its volume is 31.38 Å³/atom.

Entry 12:
DFT (PBE-GGA) results for a geometry-optimized AcPrBr4 structure.

The structure belongs to space group C2/c (No. 15); the cell edges are 8.424, 17.583 and 7.389 Å and the angles 90.00°, 124.35° and 90.00°. Symmetry generates all atoms from Ac at (0.000, 0.065, 0.250), Pr at (0.000, 0.446, 0.750), Br at (0.234, 0.320, 0.745) and Br at (0.246, 0.426, 0.242).

Its volume is 37.65 Å³/atom.

Entry 13:
DFT (PBE-GGA) results for a geometry-optimized AcPr2Br8 structure.

The structure belongs to space group C2/m (No. 12); the cell edges are 9.138, 13.399 and 5.789 Å and the angles 90.00°, 106.98° and 90.00°. Symmetry generates all atoms from Ac at (0.000, 0.000, 0.000), Pr at (0.000, 0.318, 0.500), Br at (0.000, 0.235, 0.000), Br at (0.134, 0.500, 0.827) and Br at (0.192, 0.127, 0.575).

Its volume is 30.82 Å³/atom.

Entry 14:
DFT (PBE-GGA) results for a geometry-optimized AcPrBr structure.

The structure belongs to space group P3m1 (No. 156); the cell edges are 3.9837, 3.9837 and 8.0217 Å and the angles 90.00°, 90.00° and 120.00°. Symmetry generates all atoms from Ac at (0.0000, 0.0000, 0.0000), Pr at (0.6667, 0.3333, 0.3770) and Br at (0.3333, 0.6667, 0.6621).

Its volume is 36.75 Å³/atom.

Entry 15:
DFT (PBE-GGA) results for a geometry-optimized AcPrBr6 structure.

The structure belongs to space group R-3 (No. 148, hexagonal axes); the cell edges are 7.3984, 7.3984 and 20.6011 Å and the angles 90.00°, 90.00° and 120.00°. Symmetry generates all atoms from Ac at (0.0000, 0.0000, 0.0000), Pr at (0.0000, 0.0000, 0.5000) and Br at (0.0012, 0.3255, 0.4183).

Its volume is 40.69 Å³/atom.

Entry 16:
DFT (PBE-GGA) results for a geometry-optimized Ac2PrBr structure.

The structure belongs to space group R-3m (No. 166, hexagonal axes); the cell edges are 3.9768, 3.9768 and 33.8630 Å and the angles 90.00°, 90.00° and 120.00°. Symmetry generates all atoms from Ac at (0.0000, 0.0000, 0.2427), Pr at (0.0000, 0.0000, 0.0000) and Br at (0.0000, 0.0000, 0.5000).

Its volume is 38.65 Å³/atom.

Entry 17:
DFT (PBE-GGA) results for a geometry-optimized AcPrPtBr structure.

The structure belongs to space group R3m (No. 160, hexagonal axes); the cell edges are 4.3341, 4.3341 and 24.3433 Å and the angles 90.00°, 90.00° and 120.00°. Symmetry generates all atoms from Ac at (0.0000, 0.0000, 0.0000), Pr at (0.0000, 0.0000, 0.7973), Pt at (0.0000, 0.0000, 0.4017) and Br at (0.0000, 0.0000, 0.2264).

Its volume is 33.00 Å³/atom.

Entry 18:
DFT (PBE-GGA) results for a geometry-optimized Ac2PrPt2Br2 structure.

The structure belongs to space group I4/mmm (No. 139); the cell edges are 5.445, 5.445 and 16.463 Å and the angles 90.00°, 90.00° and 90.00°. Symmetry generates all atoms from Ac at (0.000, 0.000, 0.113), Pr at (0.000, 0.000, 0.500), Pt at (0.000, 0.500, 0.000) and Br at (0.000, 0.000, 0.303).

Its volume is 34.86 Å³/atom.

Entry 19:
DFT (PBE-GGA) results for a geometry-optimized AcPrRhBr structure.

The structure belongs to space group R3m (No. 160, hexagonal axes); the cell edges are 4.2339, 4.2339 and 24.5440 Å and the angles 90.00°, 90.00° and 120.00°. Symmetry generates all atoms from Ac at (0.0000, 0.0000, 0.0000), Pr at (0.0000, 0.0000, 0.2043), Rh at (0.0000, 0.0000, 0.6003) and Br at (0.0000, 0.0000, 0.7773).

Its volume is 31.75 Å³/atom.

Entry 20:
DFT (PBE-GGA) results for a geometry-optimized AcPrSbBr structure.

The structure belongs to space group F-43m (No. 216); the cell edges are 7.878, 7.878 and 7.878 Å and the angles 90.00°, 90.00° and 90.00°. Symmetry generates all atoms from Ac at (0.000, 0.000, 0.000), Pr at (0.000, 0.000, 0.500), Sb at (0.250, 0.250, 0.250) and Br at (0.250, 0.250, 0.750).

Its volume is 30.56 Å³/atom.

Number 1: E_form (uncorrected) -1.41 eV per atom. Number 2: E_form (uncorrected) -1.03 eV per atom. Number 3: E_form (uncorrected) -1.17 eV per atom. Number 4: E_form (uncorrected) -1.31 eV per atom. Number 5: E_form (uncorrected) -0.57 eV per atom. Number 6: E_form (uncorrected) -1.60 eV per atom. Number 7: E_form (uncorrected) -1.27 eV per atom. Number 8: E_form (uncorrected) -1.12 eV per atom. Number 9: E_form (uncorrected) -1.30 eV per atom. Number 10: E_form (uncorrected) -1.20 eV per atom. Number 11: E_form (uncorrected) -0.65 eV per atom. Number 12: E_form (uncorrected) -1.62 eV per atom. Number 13: E_form (uncorrected) -1.75 eV per atom. Number 14: E_form (uncorrected) -0.75 eV per atom. Number 15: E_form (uncorrected) -1.91 eV per atom. Number 16: E_form (uncorrected) -0.56 eV per atom. Number 17: E_form (uncorrected) -1.27 eV per atom. Number 18: E_form (uncorrected) -1.17 eV per atom. Number 19: E_form (uncorrected) -1.11 eV per atom. Number 20: E_form (uncorrected) -1.15 eV per atom.